[1]
Here is a relaxed structure of Hf5AlPb2 from Alexandria. Energies are from PBE.

Geometry as POSCAR:
```
Hf5AlPb2
1.0
7.3107 0.0000 0.0000
0.0000 10.8076 0.0000
0.0000 0.0000 4.5345
Hf Al Pb
10 2 4
Cartesian
0.0000 0.0000 0.0000 Hf
1.2844 2.9664 0.0000 Hf
1.4376 5.9984 2.2672 Hf
2.2177 0.5947 2.2672 Hf
2.3710 8.3702 0.0000 Hf
3.6554 5.4038 0.0000 Hf
4.9397 2.4373 0.0000 Hf
5.0930 10.2129 2.2672 Hf
5.8731 4.8091 2.2672 Hf
6.0264 7.8411 0.0000 Hf
0.0000 5.4038 0.0000 Al
3.6554 0.0000 0.0000 Al
0.4759 8.8453 2.2672 Pb
3.1794 3.4415 2.2672 Pb
4.1313 7.3660 2.2672 Pb
6.8348 1.9623 2.2672 Pb
```

Values from the calculation:
As for the total moment: 0.0 μB per cell. The density of states at the Fermi level is 10.61 states/eV/cell. As for the energy of formation: -30 meV per atom. As for the symmetry: Pbam, No. 55.

[2]
Here is a relaxed structure of HfAl2RePb from Alexandria. Energies are from PBE.

Geometry as POSCAR:
```
HfAl2RePb
1.0
4.9765 0.0000 0.0000
0.0000 4.9765 0.0000
0.0000 0.0000 5.0883
Hf Al Re Pb
1 2 1 1
Cartesian
0.0000 0.0000 0.0000 Hf
0.0000 2.4882 2.5442 Al
2.4882 0.0000 2.5442 Al
2.4882 2.4882 0.0000 Re
2.4882 2.4882 2.5442 Pb
```

Values from the calculation:
As for the total moment: 1.1 μB per cell. The density of states at the Fermi level is 5.29 states/eV/cell. As for the energy of formation: 1845 meV per atom. As for the symmetry: P4/mmm, No. 123.

[3]
Here is a relaxed structure of HfAl2SiPb from Alexandria. Energies are from PBE.

Geometry as POSCAR:
```
HfAl2SiPb
1.0
5.0952 0.0000 0.0000
0.0000 5.0952 0.0000
0.0000 0.0000 5.3048
Hf Al Si Pb
1 2 1 1
Cartesian
0.0000 0.0000 0.0000 Hf
0.0000 2.5476 2.6524 Al
2.5476 0.0000 2.6524 Al
2.5476 2.5476 0.0000 Si
2.5476 2.5476 2.6524 Pb
```

Values from the calculation:
As for the total moment: 0.0 μB per cell. The density of states at the Fermi level is 4.70 states/eV/cell. The uncorrected formation energy is 1.43 eV per atom. As for the symmetry: P4/mmm, No. 123.

[4]
Here is a relaxed structure of SrHf2AlPb from Alexandria. Energies are from PBE.

Geometry as POSCAR:
```
SrHf2AlPb
1.0
5.5113 0.0000 0.0000
0.0000 5.5113 0.0000
0.0000 0.0000 5.3639
Sr Hf Al Pb
1 2 1 1
Cartesian
0.0000 0.0000 0.0000 Sr
0.0000 2.7556 2.6820 Hf
2.7556 0.0000 2.6820 Hf
2.7556 2.7556 0.0000 Al
2.7556 2.7556 2.6820 Pb
```

Values from the calculation:
As for the total moment: 2.2 μB per cell. The density of states at the Fermi level is 6.03 states/eV/cell. As for the energy of formation: 1019 meV per atom. As for the symmetry: P4/mmm, No. 123.

[5]
Here is a relaxed structure of Hf2AlVPb from Alexandria. Energies are from PBE.

Geometry as POSCAR:
```
Hf2AlVPb
1.0
5.0043 0.0000 0.0000
0.0000 5.0043 0.0000
0.0000 0.0000 4.6153
Hf Al V Pb
2 1 1 1
Cartesian
0.0000 2.5021 0.0000 Hf
2.5021 0.0000 0.0000 Hf
0.0000 0.0000 0.0000 Al
0.0000 0.0000 2.3076 V
2.5021 2.5021 2.3076 Pb
```

Values from the calculation:
As for the total moment: 1.8 μB per cell. The density of states at the Fermi level is 4.99 states/eV/cell. As for the energy of formation: 680 meV per atom. As for the symmetry: P4/mmm, No. 123.

[6]
Here is a relaxed structure of HfAlPbW2 from Alexandria. Energies are from PBE.

Geometry as POSCAR:
```
HfAlPbW2
1.0
4.6423 0.0000 0.0000
0.0000 4.6423 0.0000
0.0000 0.0000 4.9442
Hf Al Pb W
1 1 1 2
Cartesian
0.0000 0.0000 0.0000 Hf
0.0000 0.0000 2.4721 Al
2.3212 2.3212 0.0000 Pb
0.0000 2.3212 2.4721 W
2.3212 0.0000 2.4721 W
```

Values from the calculation:
As for the total moment: 0.0 μB per cell. The density of states at the Fermi level is 6.59 states/eV/cell. As for the energy of formation: 1382 meV per atom. As for the symmetry: P4/mmm, No. 123.

[7]
Here is a relaxed structure of HfAl2Pd3 from Alexandria. Energies are from PBE.

Geometry as POSCAR:
```
HfAl2Pd3
1.0
4.4540 0.0000 0.0000
-2.2270 3.8573 0.0000
0.0000 0.0000 11.1501
Hf Al Pd
2 4 6
Cartesian
0.0000 2.5715 1.9102 Hf
2.2270 1.2858 9.2400 Hf
0.0000 0.0000 0.0000 Al
0.0000 0.0000 5.5751 Al
0.0000 2.5715 7.4253 Al
2.2270 1.2858 3.7249 Al
0.0000 0.0000 3.0355 Pd
0.0000 0.0000 8.1147 Pd
0.0000 2.5715 4.7301 Pd
0.0000 2.5715 10.2990 Pd
2.2270 1.2858 0.8511 Pd
2.2270 1.2858 6.4200 Pd
```

Values from the calculation:
As for the total moment: 0.0 μB per cell. The density of states at the Fermi level is 6.00 states/eV/cell. As for the energy of formation: -817 meV per atom. As for the symmetry: P-3m1, No. 164.

[8]
Here is a relaxed structure of Hf3Al2Pd3 from Alexandria. Energies are from PBE.

Geometry as POSCAR:
```
Hf3Al2Pd3
1.0
7.8833 0.0000 0.0000
-3.9417 6.8272 0.0000
0.0000 0.0000 5.2529
Hf Al Pd
6 4 6
Cartesian
-0.9778 1.6937 1.3132 Hf
-2.9638 5.1335 3.9397 Hf
1.9557 0.0000 1.3132 Hf
0.9778 1.6937 3.9397 Hf
5.9277 0.0000 3.9397 Hf
2.9638 5.1335 1.3132 Hf
0.0000 4.5514 0.0000 Al
0.0000 4.5514 2.6264 Al
3.9417 2.2757 0.0000 Al
3.9417 2.2757 2.6264 Al
-1.5875 2.7496 3.9397 Pd
-2.3542 4.0776 1.3132 Pd
3.1749 0.0000 3.9397 Pd
1.5875 2.7496 1.3132 Pd
4.7084 0.0000 1.3132 Pd
2.3542 4.0776 3.9397 Pd
```

Values from the calculation:
As for the total moment: 0.0 μB per cell. The density of states at the Fermi level is 8.36 states/eV/cell. As for the energy of formation: -719 meV per atom. As for the symmetry: P6_3/mcm, No. 193.

[9]
Here is a relaxed structure of HfAlPd5 from Alexandria. Energies are from PBE.

Geometry as POSCAR:
```
HfAlPd5
1.0
4.7851 -2.8161 0.0000
4.7851 2.8161 0.0000
-2.4492 0.0000 8.8952
Hf Al Pd
2 2 10
Cartesian
2.9482 1.9455 6.6714 Hf
4.1728 -1.9455 2.2238 Hf
2.3925 1.4081 0.0000 Al
1.1679 -1.4081 4.4476 Al
0.5413 0.3452 6.4907 Pd
2.4616 0.8097 4.4624 Pd
1.7659 -0.3452 2.0431 Pd
4.1728 1.0349 2.2238 Pd
3.4347 0.8097 8.8804 Pd
3.6862 -0.8097 0.0148 Pd
2.9482 -1.0349 6.6714 Pd
5.3550 0.3452 6.8522 Pd
4.6593 -0.8097 4.4328 Pd
6.5797 -0.3452 2.4046 Pd
```

Values from the calculation:
As for the total moment: 0.0 μB per cell. The density of states at the Fermi level is 4.93 states/eV/cell. As for the energy of formation: -518 meV per atom. As for the symmetry: C2/c, No. 15.

[10]
Here is a relaxed structure of Hf4Al2Pd from Alexandria. Energies are from PBE.

Geometry as POSCAR:
```
Hf4Al2Pd
1.0
-2.4137 2.4137 7.2650
2.4137 -2.4137 7.2650
2.4137 2.4137 -7.2650
Hf Al Pd
4 2 1
Cartesian
2.4137 0.0000 0.0000 Hf
0.0000 0.0000 2.6812 Hf
0.0000 2.4137 0.0000 Hf
0.0000 0.0000 11.8489 Hf
0.0000 0.0000 5.4547 Al
0.0000 0.0000 9.0754 Al
0.0000 0.0000 0.0000 Pd
```

Values from the calculation:
As for the total moment: 0.0 μB per cell. The density of states at the Fermi level is 7.49 states/eV/cell. As for the energy of formation: 445 meV per atom. As for the symmetry: I4/mmm, No. 139.

[11]
Here is a relaxed structure of Hf2Al3Pd from Alexandria. Energies are from PBE.

Geometry as POSCAR:
```
Hf2Al3Pd
1.0
5.3292 0.0000 0.0000
-2.6646 4.6152 0.0000
0.0000 0.0000 8.3441
Hf Al Pd
4 6 2
Cartesian
0.0000 3.0768 0.5728 Hf
0.0000 3.0768 3.5993 Hf
2.6646 1.5384 4.7449 Hf
2.6646 1.5384 7.7713 Hf
0.0000 1.5702 6.2581 Al
-1.3048 3.8302 6.2581 Al
1.3598 0.7851 2.0860 Al
1.3048 3.8302 6.2581 Al
3.9694 0.7851 2.0860 Al
2.6646 3.0451 2.0860 Al
0.0000 0.0000 0.0000 Pd
0.0000 0.0000 4.1721 Pd
```

Values from the calculation:
As for the total moment: 0.0 μB per cell. The density of states at the Fermi level is 9.77 states/eV/cell. As for the energy of formation: -632 meV per atom. As for the symmetry: P6_3/mmc, No. 194.

[12]
Here is a relaxed structure of HfAl3Pd from Alexandria. Energies are from PBE.

Geometry as POSCAR:
```
HfAl3Pd
1.0
3.5897 -5.2863 0.0000
3.5897 5.2863 0.0000
0.0000 0.0000 9.0719
Hf Al Pd
4 12 4
Cartesian
3.5897 4.0031 6.8039 Hf
3.5897 1.4672 2.2680 Hf
3.5897 -1.4672 6.8039 Hf
3.5897 -4.0031 2.2680 Hf
3.5897 4.1073 0.8181 Al
3.5897 4.1073 3.7178 Al
2.2648 1.4400 6.8039 Al
2.2555 0.0000 0.0000 Al
2.2555 0.0000 4.5359 Al
2.2648 -1.4400 2.2680 Al
4.9146 1.4400 6.8039 Al
4.9239 0.0000 0.0000 Al
4.9239 0.0000 4.5359 Al
4.9146 -1.4400 2.2680 Al
3.5897 -4.1073 5.3541 Al
3.5897 -4.1073 8.2538 Al
1.7949 2.6432 0.0000 Pd
1.7949 2.6432 4.5359 Pd
1.7949 -2.6432 0.0000 Pd
1.7949 -2.6432 4.5359 Pd
```

Values from the calculation:
As for the total moment: 0.0 μB per cell. The density of states at the Fermi level is 6.72 states/eV/cell. As for the energy of formation: -422 meV per atom. As for the symmetry: Cmcm, No. 63.